No. 1
The following is a GGA-PBE calculation of a relaxed ZnHg2Rh crystal, from Alexandria.

The structure in CIF format:
```
data_ZnHg2Rh
_chemical_formula_sum 'Zn1 Hg2 Rh1'
_space_group_name_H-M_alt 'P 1'
_space_group_IT_number 1
_cell_length_a 4.656
_cell_length_b 4.656
_cell_length_c 4.656
_cell_angle_alpha 60.00
_cell_angle_beta 60.00
_cell_angle_gamma 60.00
loop_
_space_group_symop_operation_xyz
'x,y,z'
loop_
_atom_site_label
_atom_site_fract_x
_atom_site_fract_y
_atom_site_fract_z
Zn1 0.000 0.000 0.000
Hg1 0.250 0.250 0.250
Hg2 0.500 0.500 0.500
Rh1 0.750 0.750 0.750
```

Output
For the density of states at the Fermi level, the calculation gives 0.75 states/eV per atom. The formation energy is 0.189 eV per atom. The value obtained for the total magnetic moment is 0.0 μB per cell. The total energy is -2.118 eV/atom.



No. 2
The following is a GGA-PBE calculation of a relaxed SmSiBRh6 crystal, from Alexandria.

The structure in CIF format:
```
data_SmSiBRh6
_chemical_formula_sum 'Sm2 Si2 B2 Rh12'
_space_group_name_H-M_alt 'P 1'
_space_group_IT_number 1
_cell_length_a 7.628
_cell_length_b 7.628
_cell_length_c 7.628
_cell_angle_alpha 134.09
_cell_angle_beta 110.80
_cell_angle_gamma 87.08
loop_
_space_group_symop_operation_xyz
'x,y,z'
loop_
_atom_site_label
_atom_site_fract_x
_atom_site_fract_y
_atom_site_fract_z
Sm1 0.442 0.192 0.250
Sm2 0.558 0.808 0.750
Si1 0.000 0.000 0.500
Si2 0.000 0.500 0.000
B1 0.000 0.500 0.500
B2 0.500 0.500 0.000
Rh1 0.110 0.384 0.240
Rh2 0.110 0.870 0.726
Rh3 0.173 0.923 0.250
Rh4 0.282 0.532 0.750
Rh5 0.356 0.130 0.740
Rh6 0.356 0.616 0.226
Rh7 0.644 0.384 0.774
Rh8 0.644 0.870 0.260
Rh9 0.718 0.468 0.250
Rh10 0.827 0.077 0.750
Rh11 0.890 0.130 0.274
Rh12 0.890 0.616 0.760
```

Output
For the density of states at the Fermi level, the calculation gives 1.13 states/eV per atom. The value obtained for the total magnetic moment is 0.0 μB per cell. Its formation energy (no corrections) is -5.62 kcal/mol of atoms. The total energy is -7.013 eV/atom.



No. 3
The following is a GGA-PBE calculation of a relaxed PaFe4As2 crystal, from Alexandria.

The structure in CIF format:
```
data_PaFe4As2
_chemical_formula_sum 'Pa1 Fe4 As2'
_space_group_name_H-M_alt 'P 1'
_space_group_IT_number 1
_cell_length_a 8.313
_cell_length_b 8.313
_cell_length_c 8.313
_cell_angle_alpha 154.73
_cell_angle_beta 154.73
_cell_angle_gamma 36.04
loop_
_space_group_symop_operation_xyz
'x,y,z'
loop_
_atom_site_label
_atom_site_fract_x
_atom_site_fract_y
_atom_site_fract_z
Pa1 0.000 0.000 0.000
Fe1 0.139 0.139 0.000
Fe2 0.250 0.750 0.500
Fe3 0.750 0.250 0.500
Fe4 0.861 0.861 0.000
As1 0.368 0.368 0.000
As2 0.632 0.632 0.000
```

Output
For the density of states at the Fermi level, the calculation gives 0.97 states/eV per atom. The formation energy is -0.071 eV per atom. The value obtained for the total magnetic moment is 4.5 μB per cell. The total energy is -7.592 eV/atom.



No. 4
The following is a GGA-PBE calculation of a relaxed DyErCdGa crystal, from Alexandria.

The structure in CIF format:
```
data_DyErCdGa
_chemical_formula_sum 'Dy1 Er1 Cd1 Ga1'
_space_group_name_H-M_alt 'P 1'
_space_group_IT_number 1
_cell_length_a 3.611
_cell_length_b 3.611
_cell_length_c 7.400
_cell_angle_alpha 90.00
_cell_angle_beta 90.00
_cell_angle_gamma 90.00
loop_
_space_group_symop_operation_xyz
'x,y,z'
loop_
_atom_site_label
_atom_site_fract_x
_atom_site_fract_y
_atom_site_fract_z
Dy1 0.000 0.000 0.000
Er1 0.000 0.000 0.531
Cd1 0.500 0.500 0.270
Ga1 0.500 0.500 0.762
```

Output
For the density of states at the Fermi level, the calculation gives 0.58 states/eV per atom. The formation energy is -0.457 eV per atom. The energy above the lowest structure with this stoichiometry is 0.000 eV/atom. The value obtained for the total magnetic moment is 0.0 μB per cell. The total energy is -3.734 eV/atom.